Record 1
A relaxed CsNaSmBr5 crystal. Source: Alexandria via LeMat-Bulk, functional PBE.

Calculated values
Energy relative to the elements, uncorrected, eV per atom: -1.78

Cell lengths 8.4056, 8.4056, 11.0966 Å; angles 102.21, 102.21, 109.42 degrees
Last column: nearest neighbours and their distance in Å.
Element x y z (fractional)
1 Br 0.7107 0.1002 0.4172  1 Na 2.85, 1 Sm 2.87
2 Br 0.8998 0.2893 0.0828  1 Na 2.85, 1 Sm 2.87
3 Br 0.6423 0.7530 0.9321  1 Sm 2.85, 1 Na 2.87
4 Br 0.1002 0.7107 0.9172  1 Na 2.85, 1 Sm 2.87
5 Br 0.0624 0.9376 0.2500  2 Sm 2.90
6 Br 0.9376 0.0624 0.7500  2 Sm 2.90
7 Br 0.2470 0.3577 0.5679  1 Sm 2.85, 1 Na 2.87
8 Br 0.3577 0.2470 0.0679  1 Sm 2.85, 1 Na 2.87
9 Br 0.2893 0.8998 0.5828  1 Na 2.85, 1 Sm 2.87
10 Br 0.7530 0.6423 0.4321  1 Sm 2.85, 1 Na 2.87
11 Sm 0.0000 0.0000 0.5000  6 Br 2.85-2.90
12 Sm 0.0000 0.0000 0.0000  6 Br 2.85-2.90
13 Na 0.3118 0.6882 0.7500  4 Br 2.85-2.87
14 Na 0.6882 0.3118 0.2500  4 Br 2.85-2.87
15 Cs 0.3363 0.6637 0.2500  7 Br 3.71-3.97
16 Cs 0.6637 0.3363 0.7500  7 Br 3.71-3.97

***

Record 2
A relaxed TeP2Os crystal. Source: Alexandria via LeMat-Bulk, functional PBE.

Calculated values
Energy relative to the elements, uncorrected, eV per atom: 0.19
ΔE to the lowest computed polymorph, eV/f.u.: 0.632

Cell lengths 3.9604, 3.8686, 5.3029 Å; angles 84.18, 90.00, 90.00 degrees
Last column: nearest neighbours and their distance in Å.
Element x y z (fractional)
1 Te 0.0000 0.5876 0.5231  1 P 2.62, 2 Os 2.70
2 P 0.0000 0.9012 0.0620  2 P 2.40, 2 Os 2.42, 1 Te 2.62
3 P 0.5000 0.2476 0.0844  2 Os 2.29-2.41, 2 P 2.40
4 Os 0.5000 0.7635 0.8305  4 P 2.29-2.42